(1)
# PBE La2Al2Ga3, relaxed
# energy relative to the elements	-0.535	eV/atom
# total magnetic moment	0.000	μB/f.u.
data_La2Al2Ga3
_chemical_formula_sum 'La8 Al8 Ga12'
_cell_length_a 4.5031
_cell_length_b 19.4290
_cell_length_c 7.2780
_cell_angle_alpha 90.00
_cell_angle_beta 90.00
_cell_angle_gamma 90.00
_symmetry_space_group_name_H-M 'C m c m'
_symmetry_Int_Tables_number 63
_symmetry_space_group_name_Hall '-C 2c 2'
loop_
_atom_site_label
_atom_site_type_symbol
_atom_site_fract_x
_atom_site_fract_y
_atom_site_fract_z
La1 La 0.0000 0.0526 0.2500
La2 La 0.0000 0.1606 0.7500
Al1 Al 0.0000 0.3243 0.5680
Ga1 Ga 0.0000 0.2206 0.2500
Ga2 Ga 0.0000 0.4429 0.0771


(2)
# PBE BaBeOs2, relaxed
# energy relative to the elements	0.977	eV/atom
# total magnetic moment	0.000	μB/f.u.
data_BaBeOs2
_chemical_formula_sum 'Ba2 Be2 Os4'
_cell_length_a 3.2797
_cell_length_b 4.8804
_cell_length_c 8.5529
_cell_angle_alpha 90.00
_cell_angle_beta 90.00
_cell_angle_gamma 90.00
_symmetry_space_group_name_H-M 'C m m m'
_symmetry_Int_Tables_number 65
_symmetry_space_group_name_Hall '-C 2 2'
loop_
_atom_site_label
_atom_site_type_symbol
_atom_site_fract_x
_atom_site_fract_y
_atom_site_fract_z
Ba1 Ba 0.0000 0.0000 0.0000
Be1 Be 0.0000 0.0000 0.5000
Os1 Os 0.0000 0.5000 0.3196


(3)
# PBE TiTlTe3Pd, relaxed
# uncorrected formation energy	-0.530	eV per atom
# total magnetic moment	0.000	μB/f.u.
data_TiTlTe3Pd
_chemical_formula_sum 'Ti2 Tl2 Te6 Pd2'
_cell_length_a 8.6646
_cell_length_b 3.8571
_cell_length_c 10.6617
_cell_angle_alpha 90.00
_cell_angle_beta 112.61
_cell_angle_gamma 90.00
_symmetry_space_group_name_H-M 'P 1 21/m 1'
_symmetry_Int_Tables_number 11
loop_
_symmetry_equiv_pos_as_xyz
'x,y,z'
'-x,-y,-z'
'-x,y+1/2,-z'
'x,-y+1/2,z'
loop_
_atom_site_label
_atom_site_type_symbol
_atom_site_fract_x
_atom_site_fract_y
_atom_site_fract_z
Ti1 Ti 0.2173 0.2500 0.1776
Tl1 Tl 0.2207 0.7500 0.7107
Te1 Te 0.0453 0.2500 0.8832
Te2 Te 0.2391 0.2500 0.4405
Te3 Te 0.4217 0.7500 0.1360
Pd1 Pd 0.4217 0.7500 0.3871


(4)
# PBE NdGe3Ir3, relaxed
# offset from the most stable computed form	0.0	kJ/mol of formula units
# energy relative to the elements	-0.425	eV/atom
# total magnetic moment	0.000	μB/f.u.
data_NdGe3Ir3
_chemical_formula_sum 'Nd6 Ge18 Ir18'
_cell_length_a 6.9054
_cell_length_b 6.9054
_cell_length_c 21.2767
_cell_angle_alpha 90.00
_cell_angle_beta 90.00
_cell_angle_gamma 120.00
_symmetry_space_group_name_H-M 'R -3'
_symmetry_Int_Tables_number 148
_symmetry_space_group_name_Hall '-R 3'
loop_
_atom_site_label
_atom_site_type_symbol
_atom_site_fract_x
_atom_site_fract_y
_atom_site_fract_z
Nd1 Nd 0.0000 0.0000 0.1717
Ge1 Ge 0.0287 0.6066 0.0607
Ir1 Ir 0.0121 0.7607 0.9456


(5)
# PBE La2USnN5, relaxed
# uncorrected formation energy	-0.984	eV per atom
# total magnetic moment	0.906	μB/f.u.
data_La2USnN5
_chemical_formula_sum 'La8 U4 Sn4 N20'
_cell_length_a 3.5363
_cell_length_b 14.5792
_cell_length_c 10.8631
_cell_angle_alpha 90.00
_cell_angle_beta 90.00
_cell_angle_gamma 90.00
_symmetry_space_group_name_H-M 'C m c 21'
_symmetry_Int_Tables_number 36
loop_
_symmetry_equiv_pos_as_xyz
'x,y,z'
'-x,-y,z+1/2'
'-x,y,z'
'x,-y,z+1/2'
'x+1/2,y+1/2,z'
'-x+1/2,-y+1/2,z+1/2'
'-x+1/2,y+1/2,z'
'x+1/2,-y+1/2,z+1/2'
loop_
_atom_site_label
_atom_site_type_symbol
_atom_site_fract_x
_atom_site_fract_y
_atom_site_fract_z
La1 La 0.0000 0.1120 0.0000
La2 La 0.0000 0.1321 0.5905
U1 U 0.0000 0.2178 0.3081
Sn1 Sn 0.0000 0.4850 0.7722
N1 N 0.0000 0.0599 0.3566
N2 N 0.0000 0.2794 0.9369
N3 N 0.0000 0.2974 0.6816
N4 N 0.0000 0.3689 0.3095
N5 N 0.0000 0.4970 0.0822


(6)
# PBE NpSiRh, relaxed
# uncorrected formation energy	-0.473	eV per atom
# total magnetic moment	2.941	μB/f.u.
data_NpSiRh
_chemical_formula_sum 'Np1 Si1 Rh1'
_cell_length_a 4.3150
_cell_length_b 4.3150
_cell_length_c 3.3752
_cell_angle_alpha 90.00
_cell_angle_beta 90.00
_cell_angle_gamma 120.00
_symmetry_space_group_name_H-M 'P -6 m 2'
_symmetry_Int_Tables_number 187
_symmetry_space_group_name_Hall 'P -6 2'
loop_
_atom_site_label
_atom_site_type_symbol
_atom_site_fract_x
_atom_site_fract_y
_atom_site_fract_z
Np1 Np 0.0000 0.0000 0.0000
Si1 Si 0.6667 0.3333 0.5000
Rh1 Rh 0.3333 0.6667 0.5000


(7)
# PBE Tm3Zn3Cu8, relaxed
# energy relative to the elements	-0.244	eV/atom
# total magnetic moment	0.000	μB/f.u.
data_Tm3Zn3Cu8
_chemical_formula_sum 'Tm6 Zn6 Cu16'
_cell_length_a 4.1916
_cell_length_b 8.7709
_cell_length_c 12.2332
_cell_angle_alpha 90.00
_cell_angle_beta 90.00
_cell_angle_gamma 90.00
_symmetry_space_group_name_H-M 'I m m m'
_symmetry_Int_Tables_number 71
_symmetry_space_group_name_Hall '-I 2 2'
loop_
_atom_site_label
_atom_site_type_symbol
_atom_site_fract_x
_atom_site_fract_y
_atom_site_fract_z
Tm1 Tm 0.0000 0.0000 0.0000
Tm2 Tm 0.0000 0.0000 0.2978
Zn1 Zn 0.0000 0.2074 0.5000
Zn2 Zn 0.0000 0.5000 0.0000
Cu1 Cu 0.0000 0.2807 0.1290
Cu2 Cu 0.0000 0.3594 0.3289


(8)
# PBE SrInFe2, relaxed
# energy relative to the elements	0.690	eV/atom
# total magnetic moment	4.681	μB/f.u.
data_SrInFe2
_chemical_formula_sum 'Sr2 In2 Fe4'
_cell_length_a 7.1164
_cell_length_b 7.0524
_cell_length_c 3.1794
_cell_angle_alpha 90.00
_cell_angle_beta 90.23
_cell_angle_gamma 90.00
_symmetry_space_group_name_H-M 'C 1 2/m 1'
_symmetry_Int_Tables_number 12
loop_
_symmetry_equiv_pos_as_xyz
'x,y,z'
'-x,-y,-z'
'-x,y,-z'
'x,-y,z'
'x+1/2,y+1/2,z'
'-x+1/2,-y+1/2,-z'
'-x+1/2,y+1/2,-z'
'x+1/2,-y+1/2,z'
loop_
_atom_site_label
_atom_site_type_symbol
_atom_site_fract_x
_atom_site_fract_y
_atom_site_fract_z
Sr1 Sr 0.0000 0.0000 0.0000
In1 In 0.0000 0.5000 0.0000
Fe1 Fe 0.2500 0.2500 0.5000


(9)
# PBE LaGa2CuNi5, relaxed
# energy relative to the elements	0.049	eV/atom
# total magnetic moment	0.000	μB/f.u.
data_LaGa2CuNi5
_chemical_formula_sum 'La1 Ga2 Cu1 Ni5'
_cell_length_a 4.5242
_cell_length_b 4.5242
_cell_length_c 6.8887
_cell_angle_alpha 90.00
_cell_angle_beta 90.00
_cell_angle_gamma 90.00
_symmetry_space_group_name_H-M 'P 4/m m m'
_symmetry_Int_Tables_number 123
_symmetry_space_group_name_Hall '-P 4 2'
loop_
_atom_site_label
_atom_site_type_symbol
_atom_site_fract_x
_atom_site_fract_y
_atom_site_fract_z
La1 La 0.0000 0.0000 0.0000
Ga1 Ga 0.5000 0.5000 0.3260
Cu1 Cu 0.0000 0.0000 0.5000
Ni1 Ni 0.0000 0.5000 0.3094
Ni2 Ni 0.5000 0.5000 0.0000


(10)
# PBE SrBeRh2, relaxed
# energy relative to the elements	0.047	eV/atom
# total magnetic moment	0.000	μB/f.u.
data_SrBeRh2
_chemical_formula_sum 'Sr2 Be2 Rh4'
_cell_length_a 3.1723
_cell_length_b 3.2122
_cell_length_c 13.9027
_cell_angle_alpha 90.00
_cell_angle_beta 90.00
_cell_angle_gamma 90.00
_symmetry_space_group_name_H-M 'I m m 2'
_symmetry_Int_Tables_number 44
loop_
_symmetry_equiv_pos_as_xyz
'x,y,z'
'-x,-y,z'
'-x,y,z'
'x,-y,z'
'x+1/2,y+1/2,z+1/2'
'-x+1/2,-y+1/2,z+1/2'
'-x+1/2,y+1/2,z+1/2'
'x+1/2,-y+1/2,z+1/2'
loop_
_atom_site_label
_atom_site_type_symbol
_atom_site_fract_x
_atom_site_fract_y
_atom_site_fract_z
Sr1 Sr 0.0000 0.0000 0.0000
Be1 Be 0.0000 0.5000 0.7697
Rh1 Rh 0.0000 0.0000 0.6484
Rh2 Rh 0.0000 0.5000 0.3121


Number 1: E -0.158 hartree per atom, D(E_F) 12.6 states/eV/cell. Number 2: E -0.222 hartree per atom, D(E_F) 6.2 states/eV/cell. Number 3: E -0.172 hartree per atom, D(E_F) 5.8 states/eV/cell. Number 4: E -0.253 hartree per atom, D(E_F) 15.3 states/eV/cell. Number 5: E -0.309 hartree per atom, D(E_F) 11.3 states/eV/cell. Number 6: E -0.332 hartree per atom, D(E_F) 7.3 states/eV/cell. Number 7: E -0.140 hartree per atom, D(E_F) 16.1 states/eV/cell. Number 8: E -0.171 hartree per atom, D(E_F) 11.2 states/eV/cell. Number 9: E -0.178 hartree per atom, D(E_F) 4.5 states/eV/cell. Number 10: E -0.183 hartree per atom, D(E_F) 10.0 states/eV/cell.